# MgScTe2

A geometry-optimized MgScTe2 structure (PBE-GGA, Alexandria).

Lattice parameters (Å, degrees): 4.094 4.094 7.619 74.40 74.40 60.04
Element x y z (fractional)
Sc 0.750 0.750 0.750
Te 0.500 0.500 0.500
Te 0.000 0.000 0.000
Mg 0.250 0.250 0.250

The raw formation energy is -3.7 eV/f.u. Its density of states at the Fermi level is 0.6721 states/eV/atom. The value obtained for the total moment is 0.000 μB/atom.



# MgSc2Te2

A geometry-optimized MgSc2Te2 structure (PBE-GGA, Alexandria).

Lattice parameters (Å, degrees): 8.035 8.035 3.740 90.00 90.00 90.00
Element x y z (fractional)
Te 0.653 0.153 0.000
Te 0.347 0.847 0.000
Te 0.847 0.653 0.000
Te 0.153 0.347 0.000
Sc 0.358 0.142 0.500
Sc 0.142 0.642 0.500
Sc 0.642 0.858 0.500
Sc 0.858 0.358 0.500
Mg 0.000 0.000 0.000
Mg 0.500 0.500 0.000

The raw formation energy is -3.7 eV/f.u. Its density of states at the Fermi level is 0.7740 states/eV/atom. The value obtained for the total moment is 0.000 μB/atom.



# Mg2ScTe

A geometry-optimized Mg2ScTe structure (PBE-GGA, Alexandria).

Lattice parameters (Å, degrees): 8.497 8.497 6.676 50.47 50.47 90.00
Element x y z (fractional)
Mg 0.654 0.125 0.250
Mg 0.875 0.904 0.750
Mg 0.375 0.346 0.750
Mg 0.096 0.625 0.250
Sc 0.250 0.750 0.500
Sc 0.500 0.500 0.000
Te 0.000 0.000 0.000
Te 0.750 0.250 0.500

The raw formation energy is -0.8 eV/f.u. Its density of states at the Fermi level is 0.7842 states/eV/atom. The value obtained for the total moment is 0.000 μB/atom.



# MgSc2Te

A geometry-optimized MgSc2Te structure (PBE-GGA, Alexandria).

Lattice parameters (Å, degrees): 4.214 3.897 6.034 71.20 90.00 90.00
Element x y z (fractional)
Te 0.000 0.711 0.458
Mg 0.500 0.535 0.799
Sc 0.500 0.285 0.308
Sc 0.000 0.969 0.935

The raw formation energy is -1.9 eV/f.u. Its density of states at the Fermi level is 0.8315 states/eV/atom. The value obtained for the total moment is 0.000 μB/atom.



# MgSc2Te

A geometry-optimized MgSc2Te structure (PBE-GGA, Alexandria).

Lattice parameters (Å, degrees): 3.761 3.761 6.458 90.00 90.00 90.00
Element x y z (fractional)
Sc 0.000 0.000 0.496
Sc 0.000 0.000 0.004
Te 0.500 0.500 0.250
Mg 0.500 0.500 0.750

The raw formation energy is -2.0 eV/f.u. Its density of states at the Fermi level is 1.0074 states/eV/atom. The value obtained for the total moment is 0.005 μB/atom.



# MgSc5Te4

A geometry-optimized MgSc5Te4 structure (PBE-GGA, Alexandria).

Lattice parameters (Å, degrees): 6.907 8.726 9.067 90.00 90.00 90.00
Element x y z (fractional)
Te 0.087 0.000 0.193
Te 0.913 0.500 0.693
Te 0.087 0.000 0.807
Te 0.913 0.500 0.307
Te 0.434 0.776 0.500
Te 0.566 0.724 0.000
Te 0.434 0.224 0.500
Te 0.566 0.276 0.000
Sc 0.237 0.689 0.800
Sc 0.237 0.689 0.200
Sc 0.763 0.189 0.300
Sc 0.883 0.500 0.000
Sc 0.763 0.811 0.300
Sc 0.763 0.189 0.700
Sc 0.237 0.311 0.200
Sc 0.237 0.311 0.800
Sc 0.763 0.811 0.700
Sc 0.117 0.000 0.500
Mg 0.244 0.500 0.500
Mg 0.756 0.000 0.000

The raw formation energy is -6.4 eV/f.u. Its density of states at the Fermi level is 0.7648 states/eV/atom. The value obtained for the total moment is 0.000 μB/atom.



# Mg4ScTe

A geometry-optimized Mg4ScTe structure (PBE-GGA, Alexandria).

Lattice parameters (Å, degrees): 5.891 5.891 5.891 60.00 60.00 60.00
Element x y z (fractional)
Te 0.000 0.000 0.000
Mg 0.376 0.872 0.376
Mg 0.872 0.376 0.376
Mg 0.376 0.376 0.376
Mg 0.376 0.376 0.872
Sc 0.750 0.750 0.750

The raw formation energy is 0.2 eV/f.u. Its density of states at the Fermi level is 0.9791 states/eV/atom. The value obtained for the total moment is 0.000 μB/atom.



# MgScTe2

A geometry-optimized MgScTe2 structure (PBE-GGA, Alexandria).

Lattice parameters (Å, degrees): 6.667 6.667 7.910 65.08 65.08 90.00
Last column: magnetic moment on the atom in μB.
Element x y z (fractional)
Te 0.875 0.868 0.750  -0.02
Te 0.132 0.625 0.250  -0.02
Te 0.375 0.382 0.750  -0.02
Te 0.618 0.125 0.250  -0.02
Mg 0.250 0.750 0.500  0.01
Mg 0.500 0.500 0.000  0.01
Sc 0.000 0.000 0.000  0.57
Sc 0.750 0.250 0.500  0.57

The raw formation energy is -2.9 eV/f.u. Its density of states at the Fermi level is 1.0125 states/eV/atom. The value obtained for the total moment is 0.248 μB/atom.



# MgScTe2

A geometry-optimized MgScTe2 structure (PBE-GGA, Alexandria).

Lattice parameters (Å, degrees): 3.530 3.530 9.767 90.00 90.00 99.95
Element x y z (fractional)
Sc 0.500 0.500 0.758
Mg 0.000 0.000 0.503
Te 0.500 0.500 0.315
Te 0.000 0.000 0.925

The raw formation energy is -1.6 eV/f.u. Its density of states at the Fermi level is 0.5304 states/eV/atom. The value obtained for the total moment is 0.000 μB/atom.



# MgSc2Te

A geometry-optimized MgSc2Te structure (PBE-GGA, Alexandria).

Lattice parameters (Å, degrees): 10.227 10.227 10.227 20.84 20.84 20.84
Element x y z (fractional)
Te 0.500 0.500 0.500
Sc 0.103 0.103 0.103
Sc 0.897 0.897 0.897
Mg 0.000 0.000 0.000

The raw formation energy is -0.2 eV/f.u. Its density of states at the Fermi level is 0.8714 states/eV/atom. The value obtained for the total moment is 0.000 μB/atom.



# Mg2ScTe

A geometry-optimized Mg2ScTe structure (PBE-GGA, Alexandria).

Lattice parameters (Å, degrees): 3.842 3.870 7.408 58.51 90.00 90.00
Element x y z (fractional)
Mg 0.500 0.254 0.246
Mg 0.000 0.980 0.019
Sc 0.000 0.485 0.516
Te 0.500 0.781 0.719

The raw formation energy is -1.7 eV/f.u. Its density of states at the Fermi level is 0.5694 states/eV/atom. The value obtained for the total moment is 0.000 μB/atom.



# Mg2ScTe

A geometry-optimized Mg2ScTe structure (PBE-GGA, Alexandria).

Lattice parameters (Å, degrees): 5.145 5.145 5.145 60.00 60.00 60.00
Element x y z (fractional)
Sc 0.500 0.500 0.500
Mg 0.250 0.250 0.250
Mg 0.000 0.000 0.000
Te 0.750 0.750 0.750

The raw formation energy is -0.6 eV/f.u. Its density of states at the Fermi level is 0.9341 states/eV/atom. The value obtained for the total moment is 0.000 μB/atom.



# MgSc2Te

A geometry-optimized MgSc2Te structure (PBE-GGA, Alexandria).

Lattice parameters (Å, degrees): 3.892 3.892 6.220 90.00 90.00 90.00
Element x y z (fractional)
Te 0.000 0.000 0.479
Mg 0.500 0.500 0.766
Sc 0.500 0.500 0.256
Sc 0.000 0.000 0.999

The raw formation energy is -1.9 eV/f.u. Its density of states at the Fermi level is 0.8208 states/eV/atom. The value obtained for the total moment is 0.000 μB/atom.



# MgSc3Te4

A geometry-optimized MgSc3Te4 structure (PBE-GGA, Alexandria).

Lattice parameters (Å, degrees): 5.850 8.531 9.509 90.00 90.00 90.00
Element x y z (fractional)
Sc 0.064 0.644 0.703
Sc 0.564 0.356 0.797
Sc 0.564 0.727 0.000
Sc 0.064 0.644 0.297
Sc 0.064 0.273 0.500
Sc 0.564 0.356 0.203
Te 0.564 0.086 0.000
Te 0.064 0.914 0.500
Te 0.564 0.676 0.298
Te 0.064 0.748 0.000
Te 0.064 0.324 0.798
Te 0.564 0.676 0.702
Te 0.064 0.324 0.202
Te 0.564 0.252 0.500
Mg 0.565 0.922 0.500
Mg 0.065 0.078 0.000

The raw formation energy is -7.1 eV/f.u. Its density of states at the Fermi level is 0.6066 states/eV/atom. The value obtained for the total moment is 0.000 μB/atom.



# MgScTe2

A geometry-optimized MgScTe2 structure (PBE-GGA, Alexandria).

Lattice parameters (Å, degrees): 3.745 3.766 7.753 69.31 90.00 90.00
Element x y z (fractional)
Sc 0.500 0.750 0.750
Te 0.000 0.379 0.514
Te 0.000 0.121 0.986
Mg 0.500 0.250 0.250

The raw formation energy is -2.9 eV/f.u. Its density of states at the Fermi level is 0.6146 states/eV/atom. The value obtained for the total moment is 0.000 μB/atom.



# MgSc2Te

A geometry-optimized MgSc2Te structure (PBE-GGA, Alexandria).

Lattice parameters (Å, degrees): 5.597 5.597 5.597 135.69 129.91 69.08
Last column: magnetic moment on the atom in μB.
Element x y z (fractional)
Sc 0.504 0.504 0.000  0.40
Sc 0.996 0.996 0.000  0.40
Mg 0.250 0.750 0.500  0.00
Te 0.750 0.250 0.500  -0.01

The raw formation energy is -1.6 eV/f.u. Its density of states at the Fermi level is 0.8754 states/eV/atom. The value obtained for the total moment is 0.302 μB/atom.



# Mg2Sc2Te

A geometry-optimized Mg2Sc2Te structure (PBE-GGA, Alexandria).

Lattice parameters (Å, degrees): 7.401 7.401 4.760 90.00 90.00 90.00
Element x y z (fractional)
Te 0.500 0.500 0.000
Te 0.000 0.000 0.000
Sc 0.847 0.653 0.000
Sc 0.153 0.347 0.000
Sc 0.347 0.847 0.000
Sc 0.653 0.153 0.000
Mg 0.358 0.142 0.500
Mg 0.858 0.358 0.500
Mg 0.642 0.858 0.500
Mg 0.142 0.642 0.500

The raw formation energy is -1.4 eV/f.u. Its density of states at the Fermi level is 0.7821 states/eV/atom. The value obtained for the total moment is 0.000 μB/atom.



# MgSc2Te

A geometry-optimized MgSc2Te structure (PBE-GGA, Alexandria).

Lattice parameters (Å, degrees): 5.376 5.376 5.297 71.49 71.49 41.40
Element x y z (fractional)
Sc 0.012 0.012 0.993
Sc 0.488 0.488 0.507
Te 0.750 0.750 0.750
Mg 0.250 0.250 0.250

The raw formation energy is -1.5 eV/f.u. Its density of states at the Fermi level is 0.9752 states/eV/atom. The value obtained for the total moment is 0.000 μB/atom.



# MgSc2Te

A geometry-optimized MgSc2Te structure (PBE-GGA, Alexandria).

Lattice parameters (Å, degrees): 8.034 8.034 6.511 51.90 51.90 90.00
Last column: magnetic moment on the atom in μB.
Element x y z (fractional)
Mg 0.500 0.500 0.000  0.00
Mg 0.250 0.750 0.500  0.00
Sc 0.875 0.891 0.750  0.34
Sc 0.109 0.625 0.250  0.33
Sc 0.375 0.359 0.750  0.33
Sc 0.641 0.125 0.250  0.32
Te 0.000 0.000 0.000  -0.01
Te 0.750 0.250 0.500  -0.01

The raw formation energy is -0.8 eV/f.u. Its density of states at the Fermi level is 0.7486 states/eV/atom. The value obtained for the total moment is 0.258 μB/atom.



# Mg2ScTe

A geometry-optimized Mg2ScTe structure (PBE-GGA, Alexandria).

Lattice parameters (Å, degrees): 4.950 4.950 4.083 90.00 90.00 105.79
Element x y z (fractional)
Mg 0.000 0.000 0.000
Mg 0.500 0.500 0.000
Sc 0.500 0.000 0.500
Te 0.000 0.500 0.500

The raw formation energy is -1.2 eV/f.u. Its density of states at the Fermi level is 0.4914 states/eV/atom. The value obtained for the total moment is 0.000 μB/atom.



# MgSc2Te

A geometry-optimized MgSc2Te structure (PBE-GGA, Alexandria).

Lattice parameters (Å, degrees): 3.842 4.881 4.881 90.00 90.00 90.00
Element x y z (fractional)
Sc 0.000 0.500 0.500
Sc 0.000 0.000 0.000
Te 0.500 0.500 0.000
Mg 0.500 0.000 0.500

The raw formation energy is -1.5 eV/f.u. Its density of states at the Fermi level is 1.1248 states/eV/atom. The value obtained for the total moment is 0.001 μB/atom.



# MgSc2Te

A geometry-optimized MgSc2Te structure (PBE-GGA, Alexandria).

Lattice parameters (Å, degrees): 10.834 10.834 10.834 18.12 18.12 18.12
Element x y z (fractional)
Sc 0.089 0.089 0.089
Sc 0.911 0.911 0.911
Te 0.000 0.000 0.000
Mg 0.500 0.500 0.500

The raw formation energy is 0.2 eV/f.u. Its density of states at the Fermi level is 1.3719 states/eV/atom. The value obtained for the total moment is 0.026 μB/atom.



# MgSc2Te

A geometry-optimized MgSc2Te structure (PBE-GGA, Alexandria).

Lattice parameters (Å, degrees): 5.079 5.079 5.079 60.00 60.00 60.00
Element x y z (fractional)
Mg 0.000 0.000 0.000
Sc 0.250 0.250 0.250
Sc 0.750 0.750 0.750
Te 0.500 0.500 0.500

The raw formation energy is -1.1 eV/f.u. Its density of states at the Fermi level is 0.5299 states/eV/atom. The value obtained for the total moment is 0.000 μB/atom.



# Mg2ScTe

A geometry-optimized Mg2ScTe structure (PBE-GGA, Alexandria).

Lattice parameters (Å, degrees): 9.523 9.523 9.523 21.85 21.85 21.85
Element x y z (fractional)
Sc 0.250 0.250 0.250
Te 0.750 0.750 0.750
Mg 0.006 0.006 0.006
Mg 0.494 0.494 0.494

The raw formation energy is -0.3 eV/f.u. Its density of states at the Fermi level is 0.9096 states/eV/atom. The value obtained for the total moment is 0.001 μB/atom.



# MgScTe2

A geometry-optimized MgScTe2 structure (PBE-GGA, Alexandria).

Lattice parameters (Å, degrees): 6.932 6.932 4.138 89.95 89.95 33.04
Element x y z (fractional)
Te 0.031 0.031 0.876
Te 0.277 0.277 0.374
Mg 0.492 0.492 0.376
Sc 0.700 0.700 0.874

The raw formation energy is -3.7 eV/f.u. Its density of states at the Fermi level is 0.3504 states/eV/atom. The value obtained for the total moment is 0.000 μB/atom.



# MgScTe2

A geometry-optimized MgScTe2 structure (PBE-GGA, Alexandria).

Lattice parameters (Å, degrees): 5.291 5.291 5.291 60.00 60.00 60.00
Element x y z (fractional)
Te 0.750 0.750 0.750
Te 0.000 0.000 0.000
Mg 0.500 0.500 0.500
Sc 0.250 0.250 0.250

The raw formation energy is -0.5 eV/f.u. Its density of states at the Fermi level is 0.6811 states/eV/atom. The value obtained for the total moment is 0.000 μB/atom.



# MgScTe2

A geometry-optimized MgScTe2 structure (PBE-GGA, Alexandria).

Lattice parameters (Å, degrees): 7.401 7.401 7.401 149.47 148.92 44.13
Element x y z (fractional)
Te 0.787 0.287 0.500
Te 0.041 0.041 0.000
Mg 0.470 0.470 0.000
Sc 0.202 0.702 0.500

The raw formation energy is -3.4 eV/f.u. Its density of states at the Fermi level is 0.6251 states/eV/atom. The value obtained for the total moment is 0.000 μB/atom.